[1]
Entry from the Alexandria database: a relaxed HfGaRe3 crystal (GGA-PBE).

a b c (Å): 4.529 4.529 4.529
angles (deg): 90.00 90.00 90.00
Site moments in Bohr magnetons follow the coordinates.
Fractional positions:
Ga: 0.000 0.000 0.000  0.00
Hf: 0.500 0.500 0.500  0.05
Re: 0.000 0.500 0.000  0.34
Re: 0.500 0.000 0.000  0.19
Re: 0.000 0.000 0.500  0.34

Calculated values
E above lowest polymorph ... 0 meV per atom
Formation enthalpy at 0 K ... 1327 meV/atom
Space group ... Pm-3m



[2]
Entry from the Alexandria database: a relaxed Er4HgPbN crystal (GGA-PBE).

a b c (Å): 6.620 6.614 8.483
angles (deg): 90.00 112.97 90.00
Fractional positions:
Er: 0.500 0.000 0.500
Er: 0.500 0.500 0.500
Er: 0.000 0.500 0.500
Er: 0.591 0.250 0.182
Er: 0.081 0.750 0.162
Er: 0.409 0.750 0.818
Er: 0.000 0.000 0.500
Er: 0.919 0.250 0.838
N: 0.748 0.250 0.496
N: 0.252 0.750 0.504
Hg: 0.885 0.750 0.771
Hg: 0.115 0.250 0.229
Pb: 0.392 0.250 0.785
Pb: 0.608 0.750 0.215

Calculated values
Raw formation energy ... -77 kJ/mol of atoms
Space group ... Cmcm